i.
A plane-wave DFT calculation with PBE was carried out for crystalline AlTl2Ru at its relaxed geometry.

a b c (Å): 9.477 9.477 9.477
angles (deg): 19.94 19.94 19.94
Positions (direct):
Ru  0.759  0.759  0.759
Tl  0.015  0.015  0.015
Tl  0.243  0.243  0.243
Al  0.483  0.483  0.483

space group: R3m, No. 160


ii.
A plane-wave DFT calculation with PBE was carried out for crystalline AlTl2Ru at its relaxed geometry.

a b c (Å): 5.258 5.258 5.258
angles (deg): 132.24 132.24 69.85
Positions (direct):
Ru  0.750  0.250  0.500
Tl  0.000  0.000  0.000
Tl  0.500  0.500  0.000
Al  0.250  0.750  0.500

space group: I4/mmm, No. 139


Last place for stability: ii


i.
A plane-wave DFT calculation with PBE was carried out for crystalline AlTl2Ru at its relaxed geometry.

a b c (Å): 4.997 4.997 3.365
angles (deg): 90.00 90.00 109.38
Positions (direct):
Ru  0.000  0.500  0.500
Tl  0.000  0.000  0.000
Tl  0.500  0.500  0.000
Al  0.500  0.000  0.500

space group: Cmmm, No. 65


ii.
A plane-wave DFT calculation with PBE was carried out for crystalline AlTl2Ru at its relaxed geometry.

a b c (Å): 3.461 4.791 4.791
angles (deg): 90.00 90.00 90.00
Positions (direct):
Ru  0.500  0.000  0.500
Tl  0.000  0.000  0.000
Tl  0.000  0.500  0.500
Al  0.500  0.500  0.000

space group: P4/mmm, No. 123


Last place for stability: ii


i.
A plane-wave DFT calculation with PBE was carried out for crystalline AlTl2Ru at its relaxed geometry.

a b c (Å): 3.189 3.189 8.594
angles (deg): 90.00 90.00 90.00
Positions (direct):
Ru  0.500  0.500  0.702
Tl  0.000  0.000  0.938
Tl  0.500  0.500  0.286
Al  0.000  0.000  0.574

space group: P4mm, No. 99


ii.
A plane-wave DFT calculation with PBE was carried out for crystalline AlTl2Ru at its relaxed geometry.

a b c (Å): 5.737 5.737 3.357
angles (deg): 72.24 72.24 115.60
Positions (direct):
Ru  0.000  0.500  0.500
Tl  0.000  0.000  0.000
Tl  0.500  0.500  0.000
Al  0.500  0.000  0.500

space group: C2/m, No. 12


iii.
A plane-wave DFT calculation with PBE was carried out for crystalline AlTl2Ru at its relaxed geometry.

a b c (Å): 4.849 4.849 4.849
angles (deg): 60.00 60.00 60.00
Positions (direct):
Ru  0.500  0.500  0.500
Tl  0.250  0.250  0.250
Tl  0.750  0.750  0.750
Al  0.000  0.000  0.000

space group: Fm-3m, No. 225


Last place for stability: iii


i.
A plane-wave DFT calculation with PBE was carried out for crystalline AlTl2Ru at its relaxed geometry.

a b c (Å): 3.138 3.138 9.456
angles (deg): 90.00 90.00 113.62
Positions (direct):
Ru  0.500  0.500  0.750
Tl  0.000  0.000  0.980
Tl  0.000  0.000  0.520
Al  0.500  0.500  0.250

space group: Cmmm, No. 65


ii.
A plane-wave DFT calculation with PBE was carried out for crystalline AlTl2Ru at its relaxed geometry.

a b c (Å): 4.884 4.884 4.884
angles (deg): 60.00 60.00 60.00
Positions (direct):
Ru  0.750  0.750  0.750
Tl  0.000  0.000  0.000
Tl  0.250  0.250  0.250
Al  0.500  0.500  0.500

space group: F-43m, No. 216


Last place for stability: ii


i.
A plane-wave DFT calculation with PBE was carried out for crystalline Al2TlRu2 at its relaxed geometry.

a b c (Å): 7.186 7.186 3.136
angles (deg): 90.00 90.00 90.00
Positions (direct):
Ru  0.347  0.847  0.000
Ru  0.847  0.653  0.000
Ru  0.653  0.153  0.000
Ru  0.153  0.347  0.000
Tl  0.000  0.000  0.000
Tl  0.500  0.500  0.000
Al  0.138  0.638  0.500
Al  0.638  0.862  0.500
Al  0.862  0.362  0.500
Al  0.362  0.138  0.500

space group: P4/mbm, No. 127


ii.
A plane-wave DFT calculation with PBE was carried out for crystalline Al2TlRu2 at its relaxed geometry.

a b c (Å): 7.246 7.246 3.004
angles (deg): 90.00 90.00 90.00
Positions (direct):
Ru  0.162  0.662  0.500
Ru  0.662  0.838  0.500
Ru  0.838  0.338  0.500
Ru  0.338  0.162  0.500
Tl  0.000  0.000  0.000
Tl  0.500  0.500  0.000
Al  0.370  0.870  0.000
Al  0.870  0.630  0.000
Al  0.630  0.130  0.000
Al  0.130  0.370  0.000

space group: P4/mbm, No. 127


Last place for stability: ii


i.
A plane-wave DFT calculation with PBE was carried out for crystalline Tm4AlRu at its relaxed geometry.

a b c (Å): 9.382 9.382 9.382
angles (deg): 60.00 60.00 60.00
Positions (direct):
Tm  0.399  0.399  0.399
Tm  0.803  0.399  0.399
Tm  0.399  0.803  0.399
Tm  0.399  0.399  0.803
Tm  0.556  0.556  0.944
Tm  0.944  0.944  0.556
Tm  0.556  0.944  0.556
Tm  0.944  0.556  0.944
Tm  0.944  0.556  0.556
Tm  0.556  0.944  0.944
Tm  0.190  0.190  0.810
Tm  0.810  0.810  0.190
Tm  0.190  0.810  0.190
Tm  0.810  0.190  0.810
Tm  0.810  0.190  0.190
Tm  0.190  0.810  0.810
Al  0.173  0.173  0.173
Al  0.482  0.173  0.173
Al  0.173  0.482  0.173
Al  0.173  0.173  0.482
Ru  0.610  0.610  0.610
Ru  0.170  0.610  0.610
Ru  0.610  0.170  0.610
Ru  0.610  0.610  0.170

space group: F-43m, No. 216


ii.
A plane-wave DFT calculation with PBE was carried out for crystalline Tm4AlRu at its relaxed geometry.

a b c (Å): 6.030 8.774 7.611
angles (deg): 114.87 99.75 113.17
Positions (direct):
Tm  0.101  0.209  0.847
Tm  0.768  0.721  0.658
Tm  0.245  0.637  0.847
Tm  0.390  0.937  0.658
Tm  0.610  0.063  0.342
Tm  0.755  0.363  0.153
Tm  0.232  0.279  0.342
Tm  0.899  0.791  0.153
Al  0.375  0.625  0.249
Al  0.625  0.375  0.751
Ru  0.249  0.999  0.998
Ru  0.751  0.001  0.002

space group: C2/c, No. 15


Last place for stability: ii